Record 1
Entry from the Alexandria database: a relaxed structure of SiS (PBE).

The space group is P6_3/m (No. 176) and the conventional cell measures 7.9839, 7.9839 and 5.2642 Å, with angles of 90.00, 90.00 and 120.00 degrees. The asymmetric unit holds Si at (0.0278, 0.3572, 0.2500) and S at (0.0616, 0.6564, 0.2500).

For the energy relative to the elements, uncorrected, the calculation gives 105 meV per atom.

Record 2
Entry from the Alexandria database: a relaxed structure of CuHS2N (PBE).

The space group is P4/mmm (No. 123) and the conventional cell measures 4.666, 4.666 and 2.541 Å, with angles of 90.00, 90.00 and 90.00 degrees. The asymmetric unit holds Cu at (0.000, 0.000, 0.000), H at (0.500, 0.500, 0.500), S at (0.000, 0.500, 0.500) and N at (0.500, 0.500, 0.000).

The value obtained for the excess energy over the best structure of this formula in the dataset is 36.4 kJ per mole of atoms.